--- 1 ---
Computed, not measured: a relaxed structure of NaCd2Au at the PBE-GGA level of DFT.

a b c (Å): 4.4537 5.7440 7.9951
angles (deg): 90.00 90.00 112.81
Last column: nearest neighbours and their distance in Å.
Positions (direct):
Na (0.9338, 0.8676, 0.2500)  3 Au 3.10-3.13, 8 Cd 3.38-3.45
Na (0.0662, 0.1324, 0.7500)  3 Au 3.10-3.13, 8 Cd 3.38-3.45
Au (0.2265, 0.4530, 0.2500)  6 Cd 2.85-2.89, 3 Na 3.10-3.13
Au (0.7735, 0.5470, 0.7500)  6 Cd 2.85-2.89, 3 Na 3.10-3.13
Cd (0.6344, 0.2689, 0.4447)  3 Au 2.85-2.89, 2 Cd 2.98-3.11
Cd (0.6344, 0.2689, 0.0553)  3 Au 2.85-2.89, 2 Cd 2.98-3.11
Cd (0.3656, 0.7311, 0.5553)  3 Au 2.85-2.89, 2 Cd 2.98-3.11
Cd (0.3656, 0.7311, 0.9447)  3 Au 2.85-2.89, 2 Cd 2.98-3.11

Properties
total magnetization	0.000	μB per cell



--- 2 ---
Computed, not measured: a relaxed structure of NaCd2Au at the PBE-GGA level of DFT.

a b c (Å): 4.8946 4.8946 4.8946
angles (deg): 60.00 60.00 60.00
Last column: nearest neighbours and their distance in Å.
Positions (direct):
Cd (0.7500, 0.7500, 0.7500)  4 Na 3.00, 4 Au 3.00
Cd (0.2500, 0.2500, 0.2500)  4 Na 3.00, 4 Au 3.00
Au (0.5000, 0.5000, 0.5000)  8 Cd 3.00
Na (0.0000, 0.0000, 0.0000)  8 Cd 3.00

Properties
total magnetization	0.000	μB per cell



Name the most stable of them. 1.